A relaxed structure of MnCrS, computed with GGA-PBE.

Values from the calculation:
Space-group type   No. 12
Formation energy (no corrections)   -0.077 eV/atom

Structure (POSCAR):
```
MnCrS
1.0
-0.549 -2.498 1.712
3.008 2.249 1.479
-8.103 3.666 2.747
S Cr Mn
2 2 2
direct
0.762 0.525 0.306
0.238 0.475 0.694
0.670 0.340 0.046
0.330 0.660 0.954
0.021 0.042 0.206
0.979 0.958 0.794
```

A relaxed structure of Th4CN3, computed with GGA-PBE.

Values from the calculation:
Space-group type   No. 221
Formation energy (no corrections)   -1.259 eV/atom

Structure (POSCAR):
```
Th4CN3
1.0
5.228 0.000 0.000
0.000 5.228 0.000
0.000 0.000 5.228
N Th C
3 4 1
direct
0.500 0.500 0.000
0.000 0.500 0.500
0.500 0.000 0.500
0.000 0.500 0.000
0.000 0.000 0.500
0.500 0.000 0.000
0.500 0.500 0.500
0.000 0.000 0.000
```

A relaxed structure of HSeCl2, computed with GGA-PBE.

Values from the calculation:
Energy above the most stable polymorph in this dataset   0.706 eV/atom
Space-group type   No. 225

Structure (POSCAR):
```
HSeCl2
1.0
0.000 3.343 3.343
3.343 0.000 3.343
3.343 3.343 0.000
Cl H Se
2 1 1
direct
0.250 0.250 0.250
0.750 0.750 0.750
0.000 0.000 0.000
0.500 0.500 0.500
```

A relaxed structure of Sr4H2Pt, computed with GGA-PBE.

Values from the calculation:
Space-group type   No. 139
VASP energy   -0.112 Ha/atom

Structure (POSCAR):
```
Sr4H2Pt
1.0
-1.785 5.627 1.262
1.124 -0.957 5.854
5.636 4.409 2.752
Sr Pt H
4 1 2
direct
0.233 0.233 0.534
0.000 0.500 0.000
0.500 0.000 0.000
0.767 0.767 0.466
0.000 0.000 0.000
0.467 0.467 0.066
0.533 0.533 0.934
```

A relaxed structure of NbGa2Fe, computed with GGA-PBE.

Values from the calculation:
Space-group type   No. 225
VASP energy   -0.222 Ha/atom

Structure (POSCAR):
```
NbGa2Fe
1.0
-0.644 -4.261 -0.654
-1.629 -2.474 3.197
-4.055 -1.569 -0.309
Fe Nb Ga
1 1 2
direct
0.000 0.000 0.000
0.500 0.500 0.500
0.750 0.750 0.750
0.250 0.250 0.250
```

A relaxed structure of K2InTe, computed with GGA-PBE.

Values from the calculation:
Energy above the most stable polymorph in this dataset   0.000 eV/atom
Space-group type   No. 6
Formation energy (no corrections)   -0.551 eV/atom

Structure (POSCAR):
```
K2InTe
1.0
-1.956 -1.634 4.057
4.234 -3.006 0.831
4.889 3.338 3.702
Te K In
1 2 1
direct
0.000 0.701 0.471
0.500 0.262 0.349
0.000 0.985 0.906
0.500 0.551 0.774
```

A relaxed structure of Tb6Pr2DySc3, computed with GGA-PBE.

Values from the calculation:
Space-group type   No. 12
VASP energy   -0.185 Ha/atom

Structure (POSCAR):
```
Tb6Pr2DySc3
1.0
6.106 -0.001 0.005
-3.052 5.289 0.005
-1.028 -1.779 11.388
Sc Tb Pr Dy
3 6 2 1
direct
0.500 0.500 0.500
0.834 0.166 0.500
0.166 0.834 0.500
0.580 0.913 0.738
0.087 0.420 0.262
0.755 0.755 0.262
0.245 0.245 0.738
0.420 0.087 0.262
0.913 0.580 0.738
0.333 0.667 0.000
0.667 0.333 0.000
0.000 0.000 0.000
```

A relaxed structure of CeTmCdPt, computed with GGA-PBE.

Values from the calculation:
Space-group type   No. 216
VASP energy   -0.182 Ha/atom

Structure (POSCAR):
```
CeTmCdPt
1.0
5.128 0.000 0.000
2.564 4.441 0.000
2.564 1.480 4.187
Pt Tm Ce Cd
1 1 1 1
direct
0.750 0.750 0.750
0.500 0.500 0.500
0.000 0.000 0.000
0.250 0.250 0.250
```

A relaxed structure of MgBe13, computed with GGA-PBE.

Values from the calculation:
Space-group type   No. 226
VASP energy   -0.132 Ha/atom

Structure (POSCAR):
```
MgBe13
1.0
7.139 0.000 0.000
3.570 6.183 0.000
3.570 2.061 5.829
Mg Be
2 26
direct
0.250 0.250 0.250
0.750 0.750 0.750
0.566 0.789 0.434
0.789 0.434 0.566
0.711 0.289 0.934
0.066 0.934 0.289
0.934 0.289 0.066
0.211 0.789 0.566
0.434 0.789 0.211
0.934 0.711 0.289
0.066 0.289 0.711
0.066 0.711 0.934
0.434 0.566 0.789
0.500 0.500 0.500
0.934 0.066 0.711
0.211 0.566 0.434
0.711 0.066 0.289
0.434 0.211 0.566
0.211 0.434 0.789
0.566 0.211 0.789
0.000 0.000 0.000
0.711 0.934 0.066
0.289 0.066 0.934
0.289 0.934 0.711
0.289 0.711 0.066
0.566 0.434 0.211
0.789 0.566 0.211
0.789 0.211 0.434
```

A relaxed structure of Pr4Hg2N, computed with GGA-PBE.

Values from the calculation:
Energy above the most stable polymorph in this dataset   0.000 eV/atom
Space-group type   No. 139
Formation energy (no corrections)   -0.621 eV/atom

Structure (POSCAR):
```
Pr4Hg2N
1.0
-2.876 -0.155 4.220
-4.151 -0.836 -2.859
-2.354 -8.008 1.194
Hg N Pr
2 1 4
direct
0.370 0.370 0.259
0.630 0.630 0.741
0.000 0.000 0.000
0.167 0.167 0.665
0.500 0.000 0.000
0.833 0.833 0.335
0.000 0.500 0.000
```

A relaxed structure of Y2RuBr, computed with GGA-PBE.

Values from the calculation:
Energy above the most stable polymorph in this dataset   0.282 eV/atom
Space-group type   No. 25
Formation energy (no corrections)   -0.512 eV/atom

Structure (POSCAR):
```
Y2RuBr
1.0
5.698 0.000 0.000
0.000 3.607 0.006
0.000 -0.006 4.602
Y Br Ru
2 1 1
direct
0.000 0.875 0.874
0.500 0.375 0.376
0.000 0.375 0.374
0.500 0.875 0.875
```

A relaxed structure of Mg2IrBr, computed with GGA-PBE.

Values from the calculation:
Energy above the most stable polymorph in this dataset   0.000 eV/atom
Space-group type   No. 47
Formation energy (no corrections)   -0.538 eV/atom

Structure (POSCAR):
```
Mg2IrBr
1.0
3.227 0.000 0.000
0.000 3.304 -0.084
0.000 0.186 7.488
Ir Mg Br
1 2 1
direct
0.500 0.750 0.750
0.000 0.250 0.948
0.000 0.250 0.552
0.500 0.250 0.250
```